1.
Below is a relaxed structure of BaYTc2, with properties calculated at the PBE-GGA level.

Summary:
As for the energy above the most stable polymorph in this dataset: 680 meV per atom. The value obtained for the formation energy is 98.3 kJ/mol of atoms. Its size of the total moment is 0.000 μB per atom.

CIF file:
```
data_BaYTc2
_symmetry_space_group_name_H-M 'P m m m'
_symmetry_Int_Tables_number 47
_cell_length_a 3.496
_cell_length_b 4.640
_cell_length_c 5.374
_cell_angle_alpha 90.00
_cell_angle_beta 90.00
_cell_angle_gamma 90.00
loop_
_symmetry_equiv_pos_as_xyz
'x,y,z'
'-x,-y,-z'
'-x,-y,z'
'x,y,-z'
'x,-y,-z'
'-x,y,z'
'-x,y,-z'
'x,-y,z'
loop_
_atom_site_label
_atom_site_fract_x
_atom_site_fract_y
_atom_site_fract_z
_atom_site_occupancy
Ba1 0.000 0.000 0.000 1
Y1 0.500 0.000 0.500 1
Tc1 0.000 0.500 0.500 1
Tc2 0.500 0.500 0.000 1
```



2.
Below is a relaxed structure of BaYTc2, with properties calculated at the PBE-GGA level.

Summary:
As for the energy above the most stable polymorph in this dataset: 179 meV per atom. The value obtained for the formation energy is 49.9 kJ/mol of atoms. Its size of the total moment is 0.000 μB per atom.

CIF file:
```
data_BaYTc2
_symmetry_space_group_name_H-M 'P 4/m m m'
_symmetry_Int_Tables_number 123
_symmetry_space_group_name_Hall '-P 4 2'
_cell_length_a 3.917
_cell_length_b 3.917
_cell_length_c 7.241
_cell_angle_alpha 90.00
_cell_angle_beta 90.00
_cell_angle_gamma 90.00
loop_
_atom_site_label
_atom_site_fract_x
_atom_site_fract_y
_atom_site_fract_z
_atom_site_occupancy
Ba1 0.000 0.000 0.000 1
Y1 0.000 0.000 0.500 1
Tc1 0.500 0.500 0.346 1
```



3.
Below is a relaxed structure of BaYTc2, with properties calculated at the PBE-GGA level.

Summary:
As for the energy above the most stable polymorph in this dataset: 571 meV per atom. The value obtained for the formation energy is 87.8 kJ/mol of atoms. Its size of the total moment is 0.000 μB per atom.

CIF file:
```
data_BaYTc2
_symmetry_space_group_name_H-M 'C m m m'
_symmetry_Int_Tables_number 65
_symmetry_space_group_name_Hall '-C 2 2'
_cell_length_a 3.582
_cell_length_b 5.175
_cell_length_c 9.653
_cell_angle_alpha 90.00
_cell_angle_beta 90.00
_cell_angle_gamma 90.00
loop_
_atom_site_label
_atom_site_fract_x
_atom_site_fract_y
_atom_site_fract_z
_atom_site_occupancy
Ba1 0.000 0.000 0.000 1
Y1 0.000 0.000 0.500 1
Tc1 0.000 0.500 0.271 1
```